1.
## Mn5Be2VW2 (PBE)

Data for crystalline Mn5Be2VW2 at its relaxed geometry. Values from VASP.

```
&SYSTEM
  ibrav = 0, nat = 20, ntyp = 4
/
ATOMIC_SPECIES
Mn 54.94 Mn.upf
Be 9.01 Be.upf
V 50.94 V.upf
W 183.84 W.upf
CELL_PARAMETERS angstrom
-1.3677 0.3185 2.6698
-7.4676 -2.7632 -3.4957
2.0765 -8.1940 2.0412
ATOMIC_POSITIONS angstrom
Mn -2.0924 -0.9640 0.7474
Mn -4.6664 -9.6748 0.4680
Mn 0.4606 -6.5218 2.7182
Mn -5.0669 -5.3418 -0.2541
Mn -7.2194 -4.1170 -1.5028
Mn -1.6919 -5.2970 1.4694
Mn -3.4505 -7.2036 0.7960
Mn -3.3082 -3.4352 0.4193
Mn -4.4176 -1.2224 -0.4129
Mn 0.3544 -3.9378 2.3555
Be 0.3686 -5.4580 0.8400
Be -5.7597 -5.4992 -2.2944
Be -2.8428 -8.9011 -0.3944
Be -2.5483 -2.0562 -1.0601
V 0.0000 0.0000 0.0000
V -2.6955 -5.4786 -0.7272
W -4.6665 -3.2773 -1.9995
W -0.7246 -7.6799 0.5450
W -0.6130 -3.1574 0.0627
W -4.7781 -7.7998 -1.5172
```

Properties
As for the mass density: 10.356 g cm⁻³. The value obtained for the formation energy from the elements is -67 meV/atom. As for the space group: No. 127.

2.
## Y2MnBeV (PBE)

Data for crystalline Y2MnBeV at its relaxed geometry. Values from VASP.

```
&SYSTEM
  ibrav = 0, nat = 5, ntyp = 4
/
ATOMIC_SPECIES
Y 88.91 Y.upf
Be 9.01 Be.upf
Mn 54.94 Mn.upf
V 50.94 V.upf
CELL_PARAMETERS angstrom
5.2592 0.0000 0.0000
0.0000 5.2592 0.0000
0.0000 0.0000 4.1466
ATOMIC_POSITIONS angstrom
Y 0.0000 2.6296 0.0000
Y 2.6296 0.0000 0.0000
Be 2.6296 2.6296 2.0733
Mn 0.0000 0.0000 0.0000
V 0.0000 0.0000 2.0733
```

Properties
As for the mass density: 4.238 g cm⁻³. The value obtained for the formation energy from the elements is 669 meV/atom. As for the space group: No. 123.

3.
## MnBeW2 (PBE)

Data for crystalline MnBeW2 at its relaxed geometry. Values from VASP.

```
&SYSTEM
  ibrav = 0, nat = 4, ntyp = 3
/
ATOMIC_SPECIES
Be 9.01 Be.upf
Mn 54.94 Mn.upf
W 183.84 W.upf
CELL_PARAMETERS angstrom
-3.3178 -0.7414 2.4774
-0.6705 -2.1020 -1.5270
2.4617 -3.3848 2.2838
ATOMIC_POSITIONS angstrom
Be 0.7829 -2.9514 0.1652
Mn -0.2336 -4.3517 1.9561
W 1.7242 -5.3713 0.7017
W -1.1133 -1.7840 1.5465
```

Properties
As for the mass density: 13.480 g cm⁻³. The value obtained for the formation energy from the elements is 140 meV/atom. As for the space group: No. 6.

4.
## MnBeW2 (PBE)

Data for crystalline MnBeW2 at its relaxed geometry. Values from VASP.

```
&SYSTEM
  ibrav = 0, nat = 4, ntyp = 3
/
ATOMIC_SPECIES
Be 9.01 Be.upf
Mn 54.94 Mn.upf
W 183.84 W.upf
CELL_PARAMETERS angstrom
-1.1341 4.5331 7.0454
0.8589 2.8528 7.9118
1.4955 5.1455 6.5391
ATOMIC_POSITIONS angstrom
Be 0.3051 3.1329 5.3741
Mn 0.9152 9.3986 16.1223
W 1.2192 12.5202 21.4771
W 0.6112 6.2769 10.7674
```

Properties
As for the mass density: 13.207 g cm⁻³. The value obtained for the formation energy from the elements is 402 meV/atom. As for the space group: No. 166.

5.
## Mn2BeW (PBE)

Data for crystalline Mn2BeW at its relaxed geometry. Values from VASP.

```
&SYSTEM
  ibrav = 0, nat = 4, ntyp = 3
/
ATOMIC_SPECIES
Be 9.01 Be.upf
Mn 54.94 Mn.upf
W 183.84 W.upf
CELL_PARAMETERS angstrom
-0.4559 3.7180 -1.6769
-2.5475 2.7247 1.7116
1.5104 3.3082 1.9020
ATOMIC_POSITIONS angstrom
Be -0.7465 4.8754 0.9684
Mn 0.0000 0.0000 0.0000
Mn -0.3732 2.4377 0.4842
W -1.1197 7.3131 1.4526
```

Properties
As for the mass density: 10.284 g cm⁻³. The value obtained for the formation energy from the elements is 183 meV/atom. As for the space group: No. 216.

6.
## Mn2BeW (PBE)

Data for crystalline Mn2BeW at its relaxed geometry. Values from VASP.

```
&SYSTEM
  ibrav = 0, nat = 4, ntyp = 3
/
ATOMIC_SPECIES
Be 9.01 Be.upf
Mn 54.94 Mn.upf
W 183.84 W.upf
CELL_PARAMETERS angstrom
-1.9735 -1.9068 -2.8005
0.9309 -3.4208 1.6749
-2.5643 0.1402 1.7116
ATOMIC_POSITIONS angstrom
Be -0.8167 -1.6403 1.6933
Mn 0.0000 0.0000 0.0000
Mn -0.5213 -2.6638 -0.5628
W -2.2689 -0.8833 -0.5445
```

Properties
As for the mass density: 10.595 g cm⁻³. The value obtained for the formation energy from the elements is 24 meV/atom. As for the space group: No. 123.

7.
## Mn2BeW (PBE)

Data for crystalline Mn2BeW at its relaxed geometry. Values from VASP.

```
&SYSTEM
  ibrav = 0, nat = 4, ntyp = 3
/
ATOMIC_SPECIES
Be 9.01 Be.upf
Mn 54.94 Mn.upf
W 183.84 W.upf
CELL_PARAMETERS angstrom
-0.9900 0.8404 -2.3073
-0.8207 -3.1216 -0.7849
-4.8253 0.6852 2.3200
ATOMIC_POSITIONS angstrom
Be -4.6612 -0.6072 0.2598
Mn -4.7500 0.6745 2.2838
Mn -1.9747 -0.9887 -1.0319
W -2.4881 0.3533 1.1963
```

Properties
As for the mass density: 10.589 g cm⁻³. The value obtained for the formation energy from the elements is 108 meV/atom. As for the space group: No. 25.

8.
## MnBeW2 (PBE)

Data for crystalline MnBeW2 at its relaxed geometry. Values from VASP.

```
&SYSTEM
  ibrav = 0, nat = 4, ntyp = 3
/
ATOMIC_SPECIES
Be 9.01 Be.upf
Mn 54.94 Mn.upf
W 183.84 W.upf
CELL_PARAMETERS angstrom
2.6748 -0.0019 0.0000
-0.5695 2.6135 0.0000
0.0000 0.0000 7.5833
ATOMIC_POSITIONS angstrom
Be 1.0527 1.3058 1.8958
Mn 1.0527 1.3058 5.6874
W 0.0000 0.0000 0.1276
W 0.0000 0.0000 3.6641
```

Properties
As for the mass density: 13.523 g cm⁻³. The value obtained for the formation energy from the elements is 169 meV/atom. As for the space group: No. 65.